A plane-wave DFT calculation with PBE was carried out for crystalline In5As at its relaxed geometry.

- Size of the total moment: 0.00 μB/f.u.
- Energy of formation: 0.03 eV/atom

Cell and atoms, written as POSCAR:
```
In5As
1.0
5.799 -1.906 0.000
5.799 1.906 0.000
-2.797 0.000 7.145
In As
5 1
direct
0.000 0.000 0.000 In
0.031 0.031 0.447 In
0.314 0.314 0.163 In
0.346 0.346 0.611 In
0.673 0.673 0.805 In
0.673 0.673 0.306 As
```